# 1
{
  "formula": "CsNa2TlSn",
  "functional": "PBE",
  "state": "relaxed",
  "cell": [[6.082, 0.000, 0.000], [0.000, 6.082, 0.000], [0.000, 0.000, 6.009]],
  "species": ["Cs", "Na", "Na", "Tl", "Sn"],
  "frac_coords": [[0.500, 0.500, 0.500], [0.000, 0.500, 0.000], [0.500, 0.000, 0.000], [0.000, 0.000, 0.500], [0.000, 0.000, 0.000]],
  "delta_e_f_mev_per_atom": -63,
  "de_polymorph_ev_per_atom": 0.000,
  "m_tot_mub_per_cell": 0.000,
  "volume_a3_per_cell": 222
}


# 2
{
  "formula": "Tc2NiOs",
  "functional": "PBE",
  "state": "relaxed",
  "cell": [[-1.298, 1.181, 4.319], [-0.791, -3.835, 2.530], [3.605, 1.309, -2.650]],
  "species": ["Ni", "Os", "Tc", "Tc"],
  "frac_coords": [[0.250, 0.750, 0.500], [0.750, 0.250, 0.500], [0.000, 0.000, 0.000], [0.500, 0.500, 0.000]],
  "delta_e_f_mev_per_atom": 72,
  "de_polymorph_ev_per_atom": 0.123,
  "m_tot_mub_per_cell": 0.000,
  "volume_a3_per_cell": 55
}


# 3
{
  "formula": "Tb7Rh3",
  "functional": "PBE",
  "state": "relaxed",
  "cell": [[-3.208, 6.203, -6.935], [3.284, -8.929, -2.521], [-5.727, -2.279, 0.611]],
  "species": ["Tb", "Tb", "Tb", "Tb", "Tb", "Tb", "Tb", "Tb", "Tb", "Tb", "Tb", "Tb", "Tb", "Tb", "Rh", "Rh", "Rh", "Rh", "Rh", "Rh"],
  "frac_coords": [[0.333, 0.667, 0.458], [0.667, 0.333, 0.958], [0.124, 0.876, 0.251], [0.753, 0.876, 0.251], [0.124, 0.247, 0.251], [0.876, 0.124, 0.751], [0.247, 0.124, 0.751], [0.876, 0.753, 0.751], [0.541, 0.459, 0.445], [0.918, 0.459, 0.445], [0.541, 0.082, 0.445], [0.459, 0.541, 0.945], [0.082, 0.541, 0.945], [0.459, 0.918, 0.945], [0.810, 0.190, 0.182], [0.380, 0.190, 0.182], [0.810, 0.620, 0.182], [0.190, 0.810, 0.682], [0.620, 0.810, 0.682], [0.190, 0.380, 0.682]],
  "delta_e_f_mev_per_atom": -608,
  "m_tot_mub_per_cell": 0.000,
  "volume_a3_per_cell": 520
}


# 4
{
  "formula": "La3Ce2Ge2",
  "functional": "PBE",
  "state": "relaxed",
  "cell": [[4.480, 0.000, -0.767], [-0.173, 4.325, -1.008], [-0.451, 0.221, 10.826]],
  "species": ["La", "La", "La", "Ce", "Ce", "Ge", "Ge"],
  "frac_coords": [[0.000, 0.000, 0.000], [0.189, 0.689, 0.378], [0.811, 0.311, 0.622], [0.563, 0.563, 0.126], [0.437, 0.437, 0.874], [0.659, 0.159, 0.319], [0.341, 0.841, 0.681]],
  "delta_e_f_mev_per_atom": -404,
  "m_tot_mub_per_cell": 0.000,
  "volume_a3_per_cell": 209
}